1.
The following is a DFT calculation (PBE-GGA) of Hf8Rh2N3 after structural relaxation.

extended XYZ file:
```
13
Lattice="5.8564 0.0000 0.2339 0.0000 6.4758 0.0000 -2.1081 -3.2379 5.9253" Properties=species:S:1:pos:R:3 pbc="T T T"
Hf 1.8614 1.6497 4.8192
N 2.9282 0.0000 0.1169
Rh 0.7058 0.0000 3.1393
Rh 3.0425 3.2379 3.0199
N 0.0000 1.5160 0.0000
Hf 4.8008 0.0000 1.4349
Hf -1.3508 0.0000 4.6748
Hf -1.0525 3.2379 4.7242
N 0.0000 4.9598 0.0000
Hf 5.0991 3.2379 1.4843
Hf 1.8614 -1.6497 4.8192
Hf 1.8869 4.8876 1.3399
Hf 1.8869 1.5882 1.3399
```

## Properties
Energy relative to the elements, uncorrected = -0.863 eV per atom

---

2.
The following is a DFT calculation (PBE-GGA) of Hf7Rh2N2 after structural relaxation.

extended XYZ file:
```
11
Lattice="6.0806 -0.1141 -1.0905 -0.1106 5.5714 0.1087 -1.4672 0.1099 6.0009" Properties=species:S:1:pos:R:3 pbc="T T T"
Rh 0.8209 2.7849 0.9870
Hf 2.7703 1.2936 -0.0512
Hf 0.0000 0.0000 0.0000
N 4.2240 5.3495 0.6585
N 0.2788 0.2177 4.3606
Hf 1.7617 1.3027 2.9684
Hf 1.7325 4.2736 5.0703
Hf -0.3354 4.2755 2.8692
Hf 4.8382 1.2918 2.1499
Rh 3.6819 2.7823 4.0322
Hf 2.7411 4.2645 2.0508
```

## Properties
Energy relative to the elements, uncorrected = -0.695 eV per atom

---

3.
The following is a DFT calculation (PBE-GGA) of HfSc2RhN after structural relaxation.

extended XYZ file:
```
5
Lattice="4.2982 0.0000 0.0000 0.0000 4.2982 0.0000 0.0000 0.0000 4.4714" Properties=species:S:1:pos:R:3 pbc="T T T"
Hf 0.0000 0.0000 2.2357
Sc 0.0000 2.1491 0.0000
N 0.0000 0.0000 0.0000
Rh 2.1491 2.1491 2.2357
Sc 2.1491 0.0000 0.0000
```

## Properties
Energy relative to the elements, uncorrected = -1.021 eV per atom

---

One value per record, in order, for calculated density: 12.2; 12.7; 7.7 g cm⁻³.
One value per record, in order, for total energy: -130.52; -108.67; -43.40 eV for the cell shown.